A geometry-optimized MnZnNi14 structure. Source: Alexandria via LeMat-Bulk, functional PBE.

The value obtained for the formation enthalpy at 0 K is -0.026 eV per atom. The crystal system is orthorhombic. The volume comes out at 178.7 Å³/cell.

Unit cell a=8.1889 b=5.0126 c=5.0126 alpha=60.31 beta=90.00 gamma=90.00
Closest atoms and distances in Å follow each position.
Element x y z (fractional)
Mn 0.0000 0.0000 0.0000  10 Ni 2.50-2.53, 2 Zn 2.52
Zn 0.0000 0.5007 0.5007  10 Ni 2.50-2.53, 2 Mn 2.52
Ni 0.0000 0.5002 0.9991  2 Zn 2.50-2.52, 2 Mn 2.50-2.51, 8 Ni 2.51-2.53
Ni 0.0000 0.9991 0.5002  2 Zn 2.50-2.52, 2 Mn 2.50-2.51, 8 Ni 2.51-2.53
Ni 0.2513 0.3311 0.3311  11 Ni 2.49-2.52, 1 Zn 2.53
Ni 0.2508 0.8317 0.8317  11 Ni 2.50-2.52, 1 Mn 2.52
Ni 0.2532 0.3319 0.8341  10 Ni 2.48-2.53, 1 Mn 2.53, 1 Zn 2.53
Ni 0.2532 0.8341 0.3319  10 Ni 2.48-2.53, 1 Mn 2.53, 1 Zn 2.53
Ni 0.5000 0.1655 0.1655  12 Ni 2.48-2.52
Ni 0.5000 0.1647 0.6652  12 Ni 2.49-2.52
Ni 0.5000 0.6652 0.1647  12 Ni 2.49-2.52
Ni 0.5000 0.6651 0.6651  12 Ni 2.49-2.52
Ni 0.7468 0.3319 0.8341  10 Ni 2.48-2.53, 1 Mn 2.53, 1 Zn 2.53
Ni 0.7468 0.8341 0.3319  10 Ni 2.48-2.53, 1 Mn 2.53, 1 Zn 2.53
Ni 0.7487 0.3311 0.3311  11 Ni 2.49-2.52, 1 Zn 2.53
Ni 0.7492 0.8317 0.8317  11 Ni 2.50-2.52, 1 Mn 2.52